# 1
The following is a DFT calculation (GGA-PBE) of an optimized crystal structure of CsHgF5.

Calculated values
The symmetry is Immm.

a = 5.5562 Å, b = 5.5562 Å, c = 9.2093 Å
α = 114.49°, β = 114.49°, γ = 65.47°
Fractional coordinates of all 14 atoms:
F: 0.4123 0.9240 0.5841
F: 0.4121 0.9243 0.0841
F: 0.5879 0.0757 0.9159
F: 0.0000 0.0000 0.2500
F: 0.5877 0.0760 0.4159
F: 0.9243 0.4121 0.5841
F: 0.9240 0.4123 0.0841
F: 0.0757 0.5879 0.4159
F: 0.0760 0.5877 0.9159
F: 0.0000 0.0000 0.7500
Hg: 0.0000 0.0000 0.5000
Hg: 0.0000 0.0000 0.0000
Cs: 0.5000 0.5000 0.2500
Cs: 0.5000 0.5000 0.7500

---

# 2
The following is a DFT calculation (GGA-PBE) of an optimized crystal structure of CoNiTe2P4.

Calculated values
The symmetry is P-3m1.

a = 3.6920 Å, b = 3.6920 Å, c = 11.7518 Å
α = 90.00°, β = 90.00°, γ = 120.00°
Fractional coordinates of all 8 atoms:
P: 0.3333 0.6667 0.4238
P: 0.3333 0.6667 0.0698
P: 0.6667 0.3333 0.5762
P: 0.6667 0.3333 0.9302
Te: 0.0000 0.0000 0.7571
Te: 0.0000 0.0000 0.2429
Ni: 0.0000 0.0000 0.5000
Co: 0.0000 0.0000 0.0000

---

# 3
The following is a DFT calculation (GGA-PBE) of an optimized crystal structure of BePtSO.

Calculated values
The symmetry is Pca2_1.

a = 6.0927 Å, b = 6.6221 Å, c = 5.4223 Å
α = 90.00°, β = 90.00°, γ = 90.00°
Fractional coordinates of all 16 atoms:
O: 0.5608 0.7909 0.1450
O: 0.4392 0.2091 0.6450
O: 0.0608 0.2091 0.1450
O: 0.9392 0.7909 0.6450
Be: 0.4109 0.6240 0.0263
Be: 0.9109 0.3760 0.0263
Be: 0.0891 0.6240 0.5263
Be: 0.5891 0.3760 0.5263
Pt: 0.9905 0.0454 0.4413
Pt: 0.0095 0.9546 0.9413
Pt: 0.4905 0.9546 0.4413
Pt: 0.5095 0.0454 0.9413
S: 0.9188 0.3580 0.6374
S: 0.0812 0.6420 0.1374
S: 0.4188 0.6420 0.6374
S: 0.5812 0.3580 0.1374

---

# 4
The following is a DFT calculation (GGA-PBE) of an optimized crystal structure of Hg3ClO.

Calculated values
The symmetry is C2/c.

a = 9.2159 Å, b = 10.7510 Å, c = 17.3390 Å
α = 94.94°, β = 105.41°, γ = 115.38°
Fractional coordinates of all 60 atoms:
Hg: 0.7980 0.8376 0.7004
Hg: 0.0492 0.6561 0.6790
Hg: 0.2020 0.1624 0.2996
Hg: 0.3900 0.3367 0.6800
Hg: 0.6000 0.3523 0.8891
Hg: 0.7528 0.8038 0.4734
Hg: 0.9287 0.4618 0.1344
Hg: 0.9508 0.3439 0.3210
Hg: 0.9757 0.6962 0.0266
Hg: 0.1414 0.8523 0.3891
Hg: 0.0243 0.3038 0.9734
Hg: 0.6100 0.6633 0.3200
Hg: 0.8324 0.0382 0.3656
Hg: 0.4000 0.6477 0.1109
Hg: 0.1267 0.8367 0.1800
Hg: 0.3877 0.8408 0.0322
Hg: 0.8586 0.1477 0.6109
Hg: 0.4702 0.9805 0.6576
Hg: 0.1676 0.9618 0.6344
Hg: 0.8733 0.1633 0.8200
Hg: 0.8517 0.9735 0.0095
Hg: 0.0713 0.5382 0.8656
Hg: 0.2472 0.1962 0.5266
Hg: 0.6314 0.4735 0.5095
Hg: 0.6679 0.4805 0.1576
Hg: 0.7600 0.6624 0.7996
Hg: 0.3686 0.5265 0.4905
Hg: 0.2141 0.8439 0.8210
Hg: 0.0148 0.6592 0.4678
Hg: 0.3321 0.5195 0.8424
Hg: 0.5297 0.0195 0.3424
Hg: 0.7859 0.1561 0.1790
Hg: 0.2400 0.3376 0.2004
Hg: 0.9852 0.3408 0.5322
Hg: 0.1483 0.0265 0.9905
Hg: 0.6123 0.1592 0.9678
O: 0.3189 0.9641 0.9472
O: 0.1139 0.4196 0.0976
O: 0.2601 0.9651 0.3046
O: 0.4904 0.5349 0.1954
O: 0.9076 0.5359 0.5528
O: 0.5096 0.4651 0.8046
O: 0.8861 0.5804 0.9024
O: 0.0967 0.0804 0.4024
O: 0.0924 0.4641 0.4472
O: 0.9033 0.9196 0.5976
O: 0.6811 0.0359 0.0528
O: 0.7399 0.0349 0.6954
Cl: 0.3085 0.5787 0.6555
Cl: 0.1662 0.1096 0.7836
Cl: 0.2270 0.6096 0.2836
Cl: 0.8338 0.8904 0.2164
Cl: 0.5743 0.9213 0.8445
Cl: 0.3586 0.3194 0.0123
Cl: 0.7730 0.3904 0.7164
Cl: 0.5269 0.1806 0.4877
Cl: 0.4257 0.0787 0.1555
Cl: 0.6414 0.6806 0.9877
Cl: 0.6915 0.4213 0.3445
Cl: 0.4731 0.8194 0.5123

---

# 5
The following is a DFT calculation (GGA-PBE) of an optimized crystal structure of SmTlNO.

Calculated values
The symmetry is Pca2_1.

a = 6.8403 Å, b = 7.6948 Å, c = 5.9600 Å
α = 90.00°, β = 90.00°, γ = 90.00°
Fractional coordinates of all 16 atoms:
N: 0.4027 0.1097 0.1113
N: 0.0973 0.1097 0.6113
N: 0.9027 0.8903 0.1113
N: 0.5973 0.8903 0.6113
Tl: 0.9113 0.3573 0.4995
Tl: 0.0887 0.6427 0.9994
Tl: 0.5887 0.3573 0.9994
Tl: 0.4113 0.6427 0.4995
Sm: 0.5809 0.8688 0.9981
Sm: 0.4191 0.1312 0.4981
Sm: 0.9191 0.8688 0.4981
Sm: 0.0809 0.1312 0.9981
O: 0.4356 0.6145 0.0936
O: 0.5644 0.3855 0.5936
O: 0.9356 0.3855 0.0936
O: 0.0644 0.6145 0.5936

---

# 6
The following is a DFT calculation (GGA-PBE) of an optimized crystal structure of KTmPbS3.

Calculated values
The symmetry is Cmcm.

a = 8.6415 Å, b = 8.6415 Å, c = 11.3723 Å
α = 90.00°, β = 90.00°, γ = 153.46°
Fractional coordinates of all 12 atoms:
Pb: 0.1193 0.8807 0.2500
Pb: 0.8807 0.1193 0.7500
S: 0.5076 0.4924 0.2500
S: 0.1078 0.8922 0.9997
S: 0.8922 0.1078 0.0003
S: 0.4924 0.5076 0.7500
S: 0.8922 0.1078 0.4997
S: 0.1078 0.8922 0.5003
Tm: 0.5000 0.5000 0.5000
Tm: 0.5000 0.5000 0.0000
K: 0.8396 0.1604 0.2500
K: 0.1604 0.8396 0.7500

---

# 7
The following is a DFT calculation (GGA-PBE) of an optimized crystal structure of TbScOs.

Calculated values
The formation energy comes out at 0.50 eV per atom. The symmetry is F-43m.

a = 4.5654 Å, b = 4.5654 Å, c = 4.5654 Å
α = 60.00°, β = 60.00°, γ = 60.00°
Fractional coordinates of all 3 atoms:
Tb: 0.7500 0.7500 0.7500
Os: 0.2500 0.2500 0.2500
Sc: 0.0000 0.0000 0.0000

---

# 8
The following is a DFT calculation (GGA-PBE) of an optimized crystal structure of NaNbZnS3.

Calculated values
The symmetry is Cmcm.

a = 6.8672 Å, b = 6.8672 Å, c = 9.8272 Å
α = 90.00°, β = 90.00°, γ = 149.67°
Fractional coordinates of all 12 atoms:
S: 0.3673 0.6327 0.9448
S: 0.0788 0.9212 0.7500
S: 0.9212 0.0788 0.2500
S: 0.6327 0.3673 0.4448
S: 0.3673 0.6327 0.5552
S: 0.6327 0.3673 0.0552
Na: 0.7525 0.2475 0.7500
Na: 0.2475 0.7525 0.2500
Zn: 0.5352 0.4648 0.2500
Zn: 0.4648 0.5352 0.7500
Nb: 0.0000 0.0000 0.5000
Nb: 0.0000 0.0000 0.0000

---

Number 1: final energy -2.935 eV/atom. Number 2: final energy -5.047 eV/atom. Number 3: final energy -5.385 eV/atom. Number 4: final energy -1.877 eV/atom. Number 5: final energy -6.080 eV/atom. Number 6: final energy -4.875 eV/atom. Number 7: final energy -6.891 eV/atom. Number 8: final energy -4.972 eV/atom.